[1]
K6Na2MnH24W6O36: relaxed, GGA-PBEsol.

As for the density of states at the Fermi level: 0.00 states/eV per atom. The space group is R-3m, No. 166.

Cell: 9.6424 9.6424 9.6424 Å, 84.75 84.75 84.75°
Fractional positions:
1 K 0.0958 0.6679 0.6679
2 K 0.3321 0.3321 0.9042
3 K 0.6679 0.0958 0.6679
4 K 0.3321 0.9042 0.3321
5 K 0.6679 0.6679 0.0958
6 K 0.9042 0.3321 0.3321
7 Na 0.7318 0.7318 0.7318
8 Na 0.2682 0.2682 0.2682
9 Mn 0.0000 0.0000 0.0000
10 H 0.5201 0.9028 0.9028
11 H 0.0972 0.0972 0.4799
12 H 0.1496 0.4036 0.5261
13 H 0.4739 0.5964 0.8504
14 H 0.0424 0.0424 0.3462
15 H 0.6538 0.9576 0.9576
16 H 0.1496 0.5261 0.4036
17 H 0.5964 0.4739 0.8504
18 H 0.4739 0.8504 0.5964
19 H 0.4036 0.1496 0.5261
20 H 0.0972 0.4799 0.0972
21 H 0.0424 0.3462 0.0424
22 H 0.9576 0.6538 0.9576
23 H 0.9028 0.5201 0.9028
24 H 0.5261 0.1496 0.4036
25 H 0.5964 0.8504 0.4739
26 H 0.8504 0.4739 0.5964
27 H 0.4036 0.5261 0.1496
28 H 0.3462 0.0424 0.0424
29 H 0.9576 0.9576 0.6538
30 H 0.8504 0.5964 0.4739
31 H 0.5261 0.4036 0.1496
32 H 0.4799 0.0972 0.0972
33 H 0.9028 0.9028 0.5201
34 W 0.0000 0.2443 0.7557
35 W 0.2443 0.0000 0.7557
36 W 0.0000 0.7557 0.2443
37 W 0.2443 0.7557 0.0000
38 W 0.7557 0.0000 0.2443
39 W 0.7557 0.2443 0.0000
40 O 0.0972 0.8738 0.8738
41 O 0.1262 0.1262 0.9028
42 O 0.1263 0.3671 0.7100
43 O 0.2900 0.6329 0.8737
44 O 0.3460 0.9127 0.9127
45 O 0.0873 0.0873 0.6540
46 O 0.3671 0.1263 0.7100
47 O 0.2900 0.8737 0.6329
48 O 0.6246 0.8934 0.8934
49 O 0.1066 0.1066 0.3754
50 O 0.1494 0.4232 0.4232
51 O 0.5768 0.5768 0.8506
52 O 0.6329 0.2900 0.8737
53 O 0.1263 0.7100 0.3671
54 O 0.1262 0.9028 0.1262
55 O 0.1066 0.3754 0.1066
56 O 0.5768 0.8506 0.5768
57 O 0.8934 0.6246 0.8934
58 O 0.0873 0.6540 0.0873
59 O 0.4232 0.1494 0.4232
60 O 0.9127 0.3460 0.9127
61 O 0.8738 0.0972 0.8738
62 O 0.8737 0.2900 0.6329
63 O 0.3671 0.7100 0.1263
64 O 0.8506 0.5768 0.5768
65 O 0.4232 0.4232 0.1494
66 O 0.3754 0.1066 0.1066
67 O 0.8934 0.8934 0.6246
68 O 0.6329 0.8737 0.2900
69 O 0.7100 0.1263 0.3671
70 O 0.9127 0.9127 0.3460
71 O 0.6540 0.0873 0.0873
72 O 0.8737 0.6329 0.2900
73 O 0.7100 0.3671 0.1263
74 O 0.8738 0.8738 0.0972
75 O 0.9028 0.1262 0.1262


[2]
CsAlSb2Te: relaxed, GGA-PBEsol.

The raw formation energy is 7.27 eV per formula unit. As for the density of states at the Fermi level: 1.24 states/eV per atom. The space group is P4/mmm, No. 123.

Cell: 6.0787 6.0787 6.1475 Å, 90.00 90.00 90.00°
Fractional positions:
1 Cs 0.0000 0.0000 0.0000
2 Sb 0.0000 0.5000 0.0000
3 Sb 0.5000 0.0000 0.0000
4 Te 0.0000 0.0000 0.5000
5 Al 0.5000 0.5000 0.5000


[3]
PtAuBr2: relaxed, GGA-PBEsol.

The raw formation energy is 1.36 eV per formula unit. As for the density of states at the Fermi level: 0.61 states/eV per atom. The value obtained for the energy above the lowest structure with this stoichiometry is 1.239 eV per formula unit. The space group is Imm2, No. 44.

Cell: 3.4248 3.8453 7.3838 Å, 105.09 103.41 90.00°
Fractional positions:
1 Au 0.1940 0.6940 0.3879
2 Br 0.0026 0.0026 0.0052
3 Br 0.7646 0.2646 0.5293
4 Pt 0.5388 0.5388 0.0776


[4]
Tl4SnS3: relaxed, GGA-PBEsol.

The raw formation energy is -2.58 eV per formula unit. The space group is P4/ncc, No. 130.

Cell: 7.8812 7.8812 13.3585 Å, 90.00 90.00 90.00°
Fractional positions:
1 Tl 0.1465 0.1553 0.6009
2 Tl 0.8535 0.8447 0.6009
3 Tl 0.1553 0.1465 0.8991
4 Tl 0.6553 0.3535 0.6009
5 Tl 0.3447 0.6465 0.6009
6 Tl 0.3535 0.6553 0.8991
7 Tl 0.6465 0.3447 0.8991
8 Tl 0.8447 0.8535 0.8991
9 Tl 0.3535 0.3447 0.3991
10 Tl 0.6465 0.6553 0.3991
11 Tl 0.3447 0.3535 0.1009
12 Tl 0.8447 0.1465 0.3991
13 Tl 0.1553 0.8535 0.3991
14 Tl 0.1465 0.8447 0.1009
15 Tl 0.8535 0.1553 0.1009
16 Tl 0.6553 0.6465 0.1009
17 Sn 0.5000 0.0000 0.7384
18 Sn 0.0000 0.5000 0.7616
19 Sn 0.0000 0.5000 0.2616
20 Sn 0.5000 0.0000 0.2384
21 S 0.1650 0.8350 0.7500
22 S 0.6650 0.6650 0.7500
23 S 0.3350 0.3350 0.7500
24 S 0.8350 0.1650 0.7500
25 S 0.3350 0.6650 0.2500
26 S 0.8350 0.8350 0.2500
27 S 0.1650 0.1650 0.2500
28 S 0.5000 0.0000 0.4276
29 S 0.6650 0.3350 0.2500
30 S 0.0000 0.5000 0.5724
31 S 0.0000 0.5000 0.0724
32 S 0.5000 0.0000 0.9276


[5]
YZr3: relaxed, GGA-PBEsol.

As for the density of states at the Fermi level: 1.21 states/eV per atom. The value obtained for the energy above the lowest structure with this stoichiometry is 0.020 eV per formula unit. For the formation energy from the elements, the calculation gives 0.065 eV per atom. The space group is P-6m2, No. 187.

Cell: 3.2575 3.2575 10.4389 Å, 90.00 90.00 120.00°
Fractional positions:
1 Y 0.0000 0.0000 0.0000
2 Zr 0.0000 0.0000 0.5000
3 Zr 0.6667 0.3333 0.7385
4 Zr 0.6667 0.3333 0.2615


[6]
MgBe2Hg: relaxed, GGA-PBEsol.

As for the density of states at the Fermi level: 0.28 states/eV per atom. The value obtained for the energy above the lowest structure with this stoichiometry is 0.000 eV per formula unit. For the formation energy from the elements, the calculation gives 0.199 eV per atom. The space group is R3m, No. 160.

Cell: 3.9824 3.9824 5.0231 Å, 66.65 66.65 60.00°
Fractional positions:
1 Be 0.9431 0.9431 0.1707
2 Be 0.2828 0.2828 0.1516
3 Mg 0.7418 0.7418 0.7746
4 Hg 0.5367 0.5367 0.3898


[7]
HfAg3Pd: relaxed, GGA-PBEsol.

As for the density of states at the Fermi level: 1.08 states/eV per atom. For the formation energy from the elements, the calculation gives 1.044 eV per atom. The space group is Pm-3m, No. 221.

Cell: 4.8174 4.8174 4.8174 Å, 90.00 90.00 90.00°
Fractional positions:
1 Hf 0.5000 0.5000 0.5000
2 Pd 0.0000 0.0000 0.0000
3 Ag 0.0000 0.5000 0.0000
4 Ag 0.0000 0.0000 0.5000
5 Ag 0.5000 0.0000 0.0000


[8]
K2NaInCl6: relaxed, GGA-PBEsol.

The raw formation energy is -15.80 eV per formula unit. As for the density of states at the Fermi level: 0.00 states/eV per atom. The space group is Fm-3m, No. 225.

Cell: 7.2997 7.2997 7.2997 Å, 60.00 60.00 60.00°
Fractional positions:
1 Na 0.0000 0.0000 0.0000
2 K 0.7500 0.7500 0.7500
3 K 0.2500 0.2500 0.2500
4 Cl 0.2581 0.7419 0.2581
5 Cl 0.2581 0.7419 0.7419
6 Cl 0.7419 0.2581 0.2581
7 Cl 0.2581 0.2581 0.7419
8 Cl 0.7419 0.7419 0.2581
9 Cl 0.7419 0.2581 0.7419
10 In 0.5000 0.5000 0.5000


[9]
POsPb: relaxed, GGA-PBEsol.

As for the density of states at the Fermi level: 0.86 states/eV per atom. For the formation energy from the elements, the calculation gives 0.241 eV per atom. The space group is P3m1, No. 156.

Cell: 3.3059 3.3059 6.0858 Å, 90.00 90.00 120.00°
Fractional positions:
1 Os 0.0000 0.0000 0.9451
2 P 0.3333 0.6667 0.7363
3 Pb 0.6667 0.3333 0.3186


[10]
YZr2Re: relaxed, GGA-PBEsol.

As for the density of states at the Fermi level: 1.53 states/eV per atom. The value obtained for the energy above the lowest structure with this stoichiometry is 0.000 eV per formula unit. For the formation energy from the elements, the calculation gives -0.026 eV per atom. The space group is P4/mmm, No. 123.

Cell: 3.3007 3.3007 7.9989 Å, 90.00 90.00 90.00°
Fractional positions:
1 Re 0.5000 0.5000 0.0000
2 Y 0.5000 0.5000 0.5000
3 Zr 0.0000 0.0000 0.8063
4 Zr 0.0000 0.0000 0.1937


[11]
Tl2CrIn: relaxed, GGA-PBEsol.

As for the density of states at the Fermi level: 0.61 states/eV per atom. The value obtained for the energy above the lowest structure with this stoichiometry is 0.070 eV per formula unit. For the formation energy from the elements, the calculation gives 0.372 eV per atom. The space group is Immm, No. 71.

Cell: 3.1036 4.6063 7.2956 Å, 108.40 102.28 90.00°
Fractional positions:
1 Cr 0.0000 0.5000 0.0000
2 In 0.5000 0.0000 0.0000
3 Tl 0.6837 0.6837 0.3675
4 Tl 0.3163 0.3163 0.6325


[12]
SiHg2H: relaxed, GGA-PBEsol.

As for the density of states at the Fermi level: 0.51 states/eV per atom. The space group is Fm-3m, No. 225.

Cell: 4.5447 4.5447 4.5447 Å, 60.00 60.00 60.00°
Fractional positions:
1 H 0.0000 0.0000 0.0000
2 Si 0.5000 0.5000 0.5000
3 Hg 0.2500 0.2500 0.2500
4 Hg 0.7500 0.7500 0.7500


[13]
ZrAs3F: relaxed, GGA-PBEsol.

The raw formation energy is -1.20 eV per formula unit. As for the density of states at the Fermi level: 0.47 states/eV per atom. The space group is Pm-3m, No. 221.

Cell: 4.4441 4.4441 4.4441 Å, 90.00 90.00 90.00°
Fractional positions:
1 As 0.0000 0.5000 0.0000
2 As 0.0000 0.0000 0.5000
3 As 0.5000 0.0000 0.0000
4 Zr 0.5000 0.5000 0.5000
5 F 0.0000 0.0000 0.0000


[14]
KMnRe: relaxed, GGA-PBEsol.

As for the density of states at the Fermi level: 0.65 states/eV per atom. The value obtained for the energy above the lowest structure with this stoichiometry is 0.000 eV per formula unit. For the formation energy from the elements, the calculation gives 1.062 eV per atom. The space group is P3m1, No. 156.

Cell: 2.7578 2.7578 7.7773 Å, 90.00 90.00 120.00°
Fractional positions:
1 K 0.0000 0.0000 0.9939
2 Mn 0.6667 0.3333 0.6223
3 Re 0.3333 0.6667 0.3838


[15]
BeFe2Ru: relaxed, GGA-PBEsol.

As for the density of states at the Fermi level: 0.59 states/eV per atom. For the formation energy from the elements, the calculation gives -0.004 eV per atom. The space group is F-43m, No. 216.

Cell: 3.9060 3.9060 3.9060 Å, 60.00 60.00 60.00°
Fractional positions:
1 Ru 0.5000 0.5000 0.5000
2 Fe 0.0000 0.0000 0.0000
3 Fe 0.7500 0.7500 0.7500
4 Be 0.2500 0.2500 0.2500


[16]
ZnCrPt: relaxed, GGA-PBEsol.

As for the density of states at the Fermi level: 1.36 states/eV per atom. For the formation energy from the elements, the calculation gives 0.000 eV per atom. The space group is P-6m2, No. 187.

Cell: 2.6106 4.2484 4.2484 Å, 120.00 90.00 90.00°
Fractional positions:
1 Cr 0.0002 0.0000 0.0000
2 Pt 0.5011 0.3333 0.6667
3 Zn 0.4986 0.6667 0.3333


[17]
CaMnCoMo2: relaxed, GGA-PBEsol.

As for the density of states at the Fermi level: 1.76 states/eV per atom. For the formation energy from the elements, the calculation gives 2.792 eV per atom. The space group is P4/mmm, No. 123.

Cell: 4.2771 4.4703 4.4703 Å, 90.00 90.00 90.00°
Fractional positions:
1 Mo 0.0000 0.0000 0.5000
2 Mo 0.0000 0.5000 0.0000
3 Mn 0.5000 0.0000 0.0000
4 Co 0.5000 0.5000 0.5000
5 Ca 0.0000 0.0000 0.0000


[18]
LaAl2Ag2: relaxed, GGA-PBEsol.

As for the density of states at the Fermi level: 0.63 states/eV per atom. For the formation energy from the elements, the calculation gives -0.347 eV per atom. The space group is I4/mmm, No. 139.

Cell: 4.3290 4.3290 6.3551 Å, 109.91 109.91 90.00°
Fractional positions:
1 Al 0.2500 0.7500 0.5000
2 Al 0.7500 0.2500 0.5000
3 Ag 0.3789 0.3789 0.7579
4 Ag 0.6211 0.6211 0.2421
5 La 0.0000 0.0000 0.0000


[19]
TaCoSi2: relaxed, GGA-PBEsol.

The raw formation energy is -1.50 eV per formula unit. As for the density of states at the Fermi level: 0.62 states/eV per atom. The space group is P4mm, No. 99.

Cell: 3.0452 3.0452 5.6331 Å, 90.00 90.00 90.00°
Fractional positions:
1 Co 0.5000 0.5000 0.8085
2 Si 0.0000 0.0000 0.9755
3 Si 0.5000 0.5000 0.2239
4 Ta 0.0000 0.0000 0.4921


[20]
CaAlSiH: relaxed, GGA-PBEsol.

As for the density of states at the Fermi level: 0.00 states/eV per atom. The space group is P3m1, No. 156.

Cell: 4.1240 4.1240 4.5287 Å, 90.00 90.00 120.00°
Fractional positions:
1 H 0.6667 0.3333 0.0727
2 Ca 0.0000 0.0000 0.0056
3 Si 0.3333 0.6667 0.5651
4 Al 0.6667 0.3333 0.4633


[21]
V2GaN: relaxed, GGA-PBEsol.

The raw formation energy is -3.67 eV per formula unit. As for the density of states at the Fermi level: 0.71 states/eV per atom. The space group is P6_3/mmc, No. 194.

Cell: 2.8853 2.8853 12.6318 Å, 90.00 90.00 120.00°
Fractional positions:
1 N 0.0000 0.0000 0.0000
2 N 0.0000 0.0000 0.5000
3 Ga 0.6667 0.3333 0.7500
4 Ga 0.3333 0.6667 0.2500
5 V 0.6667 0.3333 0.4154
6 V 0.3333 0.6667 0.5846
7 V 0.3333 0.6667 0.9154
8 V 0.6667 0.3333 0.0846


[22]
SbAsIr2: relaxed, GGA-PBEsol.

The raw formation energy is 1.01 eV per formula unit. As for the density of states at the Fermi level: 0.87 states/eV per atom. The value obtained for the energy above the lowest structure with this stoichiometry is 0.000 eV per formula unit. The space group is P4/mmm, No. 123.

Cell: 3.0888 3.0888 6.9182 Å, 90.00 90.00 90.00°
Fractional positions:
1 Sb 0.5000 0.5000 0.0000
2 As 0.5000 0.5000 0.5000
3 Ir 0.0000 0.0000 0.7124
4 Ir 0.0000 0.0000 0.2876


[23]
Ba2CaInSb: relaxed, GGA-PBEsol.

The raw formation energy is -1.53 eV per formula unit. As for the density of states at the Fermi level: 1.33 states/eV per atom. The space group is P4/mmm, No. 123.

Cell: 5.7736 6.5602 6.5602 Å, 90.00 90.00 90.00°
Fractional positions:
1 Sb 0.0000 0.0000 0.0000
2 Ca 0.5000 0.0000 0.0000
3 Ba 0.0000 0.0000 0.5000
4 Ba 0.0000 0.5000 0.0000
5 In 0.5000 0.5000 0.5000


| no. | E (eV/cell) | calculated density (g/cm³) |
| --- | --- | --- |
| 1 | -491.72 | 3.821 |
| 2 | -10.41 | 3.882 |
| 3 | -13.26 | 10.055 |
| 4 | -122.07 | 8.265 |
| 5 | -33.83 | 6.276 |
| 6 | -9.49 | 6.576 |
| 7 | -21.17 | 9.038 |
| 8 | -34.49 | 2.588 |
| 9 | -21.28 | 12.350 |
| 10 | -38.44 | 8.719 |
| 11 | -17.00 | 9.910 |
| 12 | -7.53 | 10.764 |
| 13 | -27.53 | 6.338 |
| 14 | -21.04 | 9.085 |
| 15 | -32.12 | 8.739 |
| 16 | -18.79 | 12.716 |
| 17 | -29.20 | 6.719 |
| 18 | -21.89 | 6.501 |
| 19 | -33.29 | 9.411 |
| 20 | -16.93 | 2.394 |
| 21 | -69.62 | 6.769 |
| 22 | -28.30 | 14.620 |
| 23 | -15.50 | 3.684 |